# Mn2PtF2 PBE with a Hubbard U optimized geometry
data_Mn2PtF2
_symmetry_space_group_name_H-M 'I 4/m m m'
_symmetry_Int_Tables_number 139
_symmetry_space_group_name_Hall '-I 4 2'
_cell_length_a 4.3021
_cell_length_b 4.3021
_cell_length_c 8.1082
_cell_angle_alpha 90.00
_cell_angle_beta 90.00
_cell_angle_gamma 90.00
loop_
_atom_site_label
_atom_site_fract_x
_atom_site_fract_y
_atom_site_fract_z
Mn1 0.0000 0.5000 0.2500
Pt1 0.0000 0.0000 0.0000
F1 0.0000 0.0000 0.3415
# * energy: -59.52 eV for the cell shown
# * total moment: 20.000 μB/cell
# * excess energy over the best structure of this formula in the dataset: 119 meV per atom